Below is a geometry-optimized Li2WO3 structure, with properties calculated at the PBE with a Hubbard U level.

Values from the calculation:
Theoretical density in g/cm3: 6.70
Crystal system: monoclinic
Magnetic moment in μB/atom: 0.3333
SG: C2/c (15)
Total energy in eV/atom: -6.338

```
12
Lattice="2.715 -4.461 0.000 2.715 4.461 0.000 -2.254 0.000 5.027" Properties=species:S:1:pos:R:3 pbc="T T T"
Li 1.024 3.771 3.770
Li 2.151 2.315 1.257
Li 1.024 -2.315 3.770
Li 2.151 -3.771 1.257
W 1.024 0.775 3.770
W 2.151 -0.775 1.257
O 0.230 2.231 2.514
O -0.758 0.670 4.986
O 0.369 -0.670 2.472
O 1.357 -2.231 0.000
O 2.807 0.670 2.555
O 3.934 -0.670 0.041
```